Model a:
DFT (GGA-PBE) results for a geometry-optimized BaSr3Rh structure.

## Properties
* calculated density: 3.8 g/cm³
* volume: 44.10 Å³ per atom
* SG: Pm-3m, No. 221

Lattice parameters (Å, degrees): 6.0412 6.0412 6.0412 90.00 90.00 90.00
Fractional coordinates of all 5 atoms:
Ba (0.0000, 0.0000, 0.0000)
Sr (0.0000, 0.0000, 0.5000)
Sr (0.0000, 0.5000, 0.0000)
Sr (0.5000, 0.0000, 0.0000)
Rh (0.5000, 0.5000, 0.5000)

Model b:
DFT (GGA-PBE) results for a geometry-optimized BaSr3Rh structure.

## Properties
* calculated density: 3.2 g/cm³
* volume: 52.00 Å³ per atom
* SG: Fd-3m, No. 227

Lattice parameters (Å, degrees): 11.3721 11.3721 11.3721 60.00 60.00 60.00
Fractional coordinates of all 20 atoms:
Ba (0.0000, 0.0000, 0.0000)
Ba (0.0000, 0.0000, 0.5000)
Ba (0.0000, 0.5000, 0.0000)
Ba (0.5000, 0.0000, 0.0000)
Sr (0.1956, 0.1956, 0.5544)
Sr (0.1956, 0.5544, 0.1956)
Sr (0.1956, 0.5544, 0.5544)
Sr (0.4456, 0.4456, 0.8044)
Sr (0.4456, 0.8044, 0.4456)
Sr (0.4456, 0.8044, 0.8044)
Sr (0.5544, 0.1956, 0.1956)
Sr (0.5544, 0.1956, 0.5544)
Sr (0.5544, 0.5544, 0.1956)
Sr (0.8044, 0.4456, 0.4456)
Sr (0.8044, 0.4456, 0.8044)
Sr (0.8044, 0.8044, 0.4456)
Rh (0.0000, 0.5000, 0.5000)
Rh (0.5000, 0.0000, 0.5000)
Rh (0.5000, 0.5000, 0.0000)
Rh (0.5000, 0.5000, 0.5000)

Of them, model b has the highest stability.